The following is a DFT calculation (PBE-GGA) of crystalline PrPuAlHg at its relaxed geometry.

Values from the calculation:
N(E_F), states/eV/f.u.: 9.12
Electronic total energy, eV for the cell shown: -23.90
Symmetry: No. 216
M_tot, μB/f.u.: 6.4

abc: 5.3309 5.3309 5.3309
angles: 60.00 60.00 60.00
Site moments in Bohr magnetons follow the coordinates.
Fractional coordinates of all 4 atoms:
Pu 0.5000 0.5000 0.5000  5.53
Hg 0.7500 0.7500 0.7500  0.05
Al 0.2500 0.2500 0.2500  -0.02
Pr 0.0000 0.0000 0.0000  0.20